1.
Here is crystalline LaTa2Se at its relaxed geometry from Alexandria via LeMat-Bulk. Energies are from PBEsol.

Results
total magnetization: 0.0 μB/f.u.
SG: P4/mmm (123)
mass density: 11.37 g cm⁻³
calculated total energy: -8.397 eV per atom

POSCAR file:
```
LaTa2Se
1.0
4.0564 0.0000 0.0000
0.0000 4.0564 0.0000
0.0000 0.0000 5.1470
La Ta Se
1 2 1
Direct
0.5000 0.5000 0.5000 La
0.0000 0.5000 0.0000 Ta
0.5000 0.0000 0.0000 Ta
0.0000 0.0000 0.5000 Se
```

=====

2.
Here is crystalline MnAg2Ir at its relaxed geometry from Alexandria via LeMat-Bulk. Energies are from PBEsol.

Results
total magnetization: 4.2 μB/f.u.
SG: P4/mmm (123)
mass density: 12.78 g cm⁻³
calculated total energy: -6.266 eV per atom

POSCAR file:
```
MnAg2Ir
1.0
-1.0652 2.6368 -2.5254
-3.6416 -0.6203 0.8884
0.2236 2.9227 2.9573
Ag Ir Mn
2 1 1
Direct
0.0000 0.0000 0.0000 Ag
0.5000 0.5000 0.0000 Ag
0.5000 0.0000 0.5000 Ir
0.0000 0.5000 0.5000 Mn
```

=====

3.
Here is crystalline Cr2SbCl at its relaxed geometry from Alexandria via LeMat-Bulk. Energies are from PBEsol.

Results
total magnetization: 8.2 μB/f.u.
SG: Imm2 (44)
mass density: 5.33 g cm⁻³
calculated total energy: -6.451 eV per atom

POSCAR file:
```
Cr2SbCl
1.0
-1.6801 -2.5484 -1.8437
2.8638 -1.8098 -0.1081
-2.2957 -0.8606 6.7301
Cl Sb Cr
1 1 2
Direct
0.7998 0.2998 0.5997 Cl
0.5458 0.5458 0.0917 Sb
0.9553 0.9553 0.9105 Cr
0.1991 0.6991 0.3981 Cr
```

=====

4.
Here is crystalline TaTl2Cr at its relaxed geometry from Alexandria via LeMat-Bulk. Energies are from PBEsol.

Results
total magnetization: 3.0 μB/f.u.
SG: I-4m2 (119)
mass density: 13.83 g cm⁻³
calculated total energy: -6.302 eV per atom

POSCAR file:
```
TaTl2Cr
1.0
4.0982 0.0000 0.0000
0.0000 4.0982 0.0000
-2.0491 -2.0491 4.5864
Tl Cr Ta
2 1 1
Direct
0.0000 0.0000 0.0000 Tl
0.7500 0.2500 0.5000 Tl
0.5000 0.5000 0.0000 Cr
0.2500 0.7500 0.5000 Ta
```

=====

5.
Here is crystalline Y5Cd at its relaxed geometry from Alexandria via LeMat-Bulk. Energies are from PBEsol.

Results
total magnetization: 0.0 μB/f.u.
SG: Cmmm (65)
mass density: 5.42 g cm⁻³
calculated total energy: -5.950 eV per atom

POSCAR file:
```
Y5Cd
1.0
-1.9036 2.0174 3.8969
-4.3670 -1.3073 -1.4564
-1.4814 -7.0976 2.9507
Y Cd
5 1
Direct
0.5000 0.3325 0.3350 Y
0.0000 0.8382 0.3236 Y
0.0000 0.1618 0.6764 Y
0.5000 0.6675 0.6650 Y
0.5000 0.0000 0.0000 Y
0.0000 0.5000 0.0000 Cd
```

=====

6.
Here is crystalline NdAu3 at its relaxed geometry from Alexandria via LeMat-Bulk. Energies are from PBEsol.

Results
total magnetization: 0.0 μB/f.u.
SG: Fm-3m (225)
mass density: 14.86 g cm⁻³
calculated total energy: -4.840 eV per atom

POSCAR file:
```
NdAu3
1.0
-1.2166 -0.5705 4.6904
-3.0962 -3.5380 1.3042
1.6253 -3.8691 2.4886
Au Nd
3 1
Direct
0.2500 0.2500 0.2500 Au
0.0000 0.0000 0.0000 Au
0.7500 0.7500 0.7500 Au
0.5000 0.5000 0.5000 Nd
```

=====

7.
Here is crystalline Li7W5O16 at its relaxed geometry from Alexandria via LeMat-Bulk. Energies are from PBEsol.

Results
total magnetization: 0.0 μB/f.u.
SG: Cm (8)
mass density: 7.17 g cm⁻³
calculated total energy: -8.073 eV per atom

POSCAR file:
```
Li7W5O16
1.0
-4.7207 0.7341 -3.4631
-0.2233 -3.4903 4.7525
-2.6490 7.3109 5.4698
Li O W
7 16 5
Direct
0.8889 0.1111 0.4519 Li
0.6502 0.3497 0.3878 Li
0.8401 0.1599 0.7244 Li
0.1823 0.3286 0.2073 Li
0.6714 0.8177 0.2074 Li
0.3263 0.6737 0.9108 Li
0.0110 0.9889 0.9964 Li
0.6580 0.8087 0.5982 O
0.3166 0.6834 0.1139 O
0.0188 0.9812 0.3091 O
0.9465 0.4934 0.8460 O
0.1913 0.3420 0.5982 O
0.5116 0.4884 0.8544 O
0.0118 0.9882 0.8055 O
0.8380 0.1620 0.0759 O
0.5066 0.0535 0.8460 O
0.0023 0.4788 0.3533 O
0.6793 0.3207 0.5850 O
0.3575 0.1568 0.0991 O
0.8432 0.6425 0.0991 O
0.5212 0.9977 0.3532 O
0.4754 0.5246 0.3553 O
0.1773 0.8227 0.6017 O
0.3616 0.1889 0.7053 W
0.1863 0.8137 0.2446 W
0.3380 0.6620 0.4689 W
0.8110 0.6384 0.7053 W
0.6774 0.3226 0.0039 W
```

=====

8.
Here is crystalline Ti2SnN2 at its relaxed geometry from Alexandria via LeMat-Bulk. Energies are from PBEsol.

Results
total magnetization: 0.0 μB/f.u.
SG: I4/mmm (139)
mass density: 5.26 g cm⁻³
calculated total energy: -8.512 eV per atom

POSCAR file:
```
Ti2SnN2
1.0
3.9335 0.0000 0.0000
0.0000 3.9335 0.0000
-1.9668 -1.9668 4.9484
Ti Sn N
2 1 2
Direct
0.2500 0.7500 0.5000 Ti
0.7500 0.2500 0.5000 Ti
0.0000 0.0000 0.0000 Sn
0.7101 0.7101 0.4203 N
0.2898 0.2898 0.5797 N
```

=====

9.
Here is crystalline Ta2CoCu at its relaxed geometry from Alexandria via LeMat-Bulk. Energies are from PBEsol.

Results
total magnetization: 0.0 μB/f.u.
SG: Pm (6)
mass density: 14.29 g cm⁻³
calculated total energy: -9.301 eV per atom

POSCAR file:
```
Ta2CoCu
1.0
2.7514 0.0000 0.0133
0.0000 4.3693 0.0000
-0.4629 0.0000 4.6805
Cu Ta Co
1 2 1
Direct
0.3761 0.5000 0.7937 Cu
0.7883 0.5000 0.3196 Ta
0.9544 0.0000 0.9367 Ta
0.3813 0.0000 0.4501 Co
```

=====

10.
Here is crystalline LaZrTa2 at its relaxed geometry from Alexandria via LeMat-Bulk. Energies are from PBEsol.

Results
total magnetization: 0.0 μB/f.u.
SG: P4/mmm (123)
mass density: 11.54 g cm⁻³
calculated total energy: -9.479 eV per atom

POSCAR file:
```
LaZrTa2
1.0
2.9065 0.0000 0.0000
0.0000 2.9065 0.0000
0.0000 0.0000 10.0800
Ta La Zr
2 1 1
Direct
0.0000 0.0000 0.7680 Ta
0.0000 0.0000 0.2320 Ta
0.5000 0.5000 0.5000 La
0.5000 0.5000 0.0000 Zr
```

=====

11.
Here is crystalline Tc3PtO at its relaxed geometry from Alexandria via LeMat-Bulk. Energies are from PBEsol.

Results
total magnetization: 4.8 μB/f.u.
SG: Pm-3m (221)
mass density: 8.13 g cm⁻³
calculated total energy: -6.547 eV per atom

POSCAR file:
```
Tc3PtO
1.0
-2.5953 -1.7824 3.4762
2.1382 -4.1409 -0.5268
3.2694 1.2933 3.1040
Tc O Pt
3 1 1
Direct
0.5000 0.0000 0.0000 Tc
0.0000 0.5000 0.0000 Tc
0.0000 0.0000 0.5000 Tc
0.5000 0.5000 0.5000 O
0.0000 0.0000 0.0000 Pt
```

=====

12.
Here is crystalline Li2ZnSi at its relaxed geometry from Alexandria via LeMat-Bulk. Energies are from PBEsol.

Results
total magnetization: 0.0 μB/f.u.
SG: P-3m1 (164)
mass density: 2.98 g cm⁻³
calculated total energy: -3.006 eV per atom

POSCAR file:
```
Li2ZnSi
1.0
-0.4306 0.0442 4.2351
-3.3235 -0.9954 -2.4672
1.9941 -7.3501 0.2794
Zn Li Si
2 4 2
Direct
0.6667 0.3333 0.0919 Zn
0.3333 0.6667 0.9081 Zn
0.6667 0.3333 0.4189 Li
0.0000 0.0000 0.7565 Li
0.0000 0.0000 0.2435 Li
0.3333 0.6667 0.5811 Li
0.6667 0.3333 0.7633 Si
0.3333 0.6667 0.2367 Si
```

=====

13.
Here is crystalline Sn3Ir2Se3 at its relaxed geometry from Alexandria via LeMat-Bulk. Energies are from PBEsol.

Results
total magnetization: 0.0 μB/f.u.
SG: R-3 (148)
mass density: 9.03 g cm⁻³
calculated total energy: -5.972 eV per atom

POSCAR file:
```
Sn3Ir2Se3
1.0
-1.4762 -3.2526 8.2149
4.9386 -7.2153 -1.9479
7.3317 4.1850 2.9960
Sn Se Ir
12 12 8
Direct
0.8481 0.3339 0.9982 Sn
0.6661 0.0018 0.1519 Sn
0.6511 0.8334 0.4999 Sn
0.5001 0.3489 0.1666 Sn
0.3339 0.9982 0.8481 Sn
0.8334 0.4999 0.6511 Sn
0.1666 0.5001 0.3489 Sn
0.4999 0.6511 0.8334 Sn
0.0018 0.1519 0.6661 Sn
0.9982 0.8481 0.3339 Sn
0.3489 0.1666 0.5001 Sn
0.1519 0.6661 0.0018 Sn
0.3496 0.8469 0.5006 Se
0.3465 0.0009 0.1494 Se
0.0009 0.1494 0.3465 Se
0.1494 0.3465 0.0009 Se
0.9991 0.8506 0.6535 Se
0.8506 0.6535 0.9991 Se
0.1531 0.4994 0.6504 Se
0.6535 0.9991 0.8506 Se
0.4994 0.6504 0.1531 Se
0.8469 0.5006 0.3496 Se
0.6504 0.1531 0.4994 Se
0.5006 0.3496 0.8469 Se
0.2550 0.2570 0.7558 Ir
0.7560 0.7560 0.7560 Ir
0.7558 0.2550 0.2570 Ir
0.2442 0.7450 0.7430 Ir
0.2570 0.7558 0.2550 Ir
0.2440 0.2440 0.2440 Ir
0.7430 0.2442 0.7450 Ir
0.7450 0.7430 0.2442 Ir
```

=====

14.
Here is crystalline AlCr2Ag at its relaxed geometry from Alexandria via LeMat-Bulk. Energies are from PBEsol.

Results
total magnetization: 6.8 μB/f.u.
SG: P4/mmm (123)
mass density: 6.56 g cm⁻³
calculated total energy: -6.520 eV per atom

POSCAR file:
```
AlCr2Ag
1.0
-1.2968 0.7129 -2.7746
0.9784 -4.0065 -1.4868
-3.8723 -1.4759 1.4307
Al Cr Ag
1 2 1
Direct
0.5000 0.5000 0.5000 Al
0.0000 0.5000 0.0000 Cr
0.0000 0.0000 0.5000 Cr
0.5000 0.0000 0.0000 Ag
```

=====

15.
Here is crystalline InGaSbTe2 at its relaxed geometry from Alexandria via LeMat-Bulk. Energies are from PBEsol.

Results
total magnetization: 0.0 μB/f.u.
SG: P4/mmm (123)
mass density: 6.16 g cm⁻³
calculated total energy: -3.309 eV per atom

POSCAR file:
```
InGaSbTe2
1.0
-4.3657 -2.5904 1.1459
0.4047 -2.7316 -4.6332
2.9077 -3.7977 2.4930
Sb In Ga Te
1 1 1 2
Direct
0.5000 0.0000 0.0000 Sb
0.5000 0.5000 0.5000 In
0.0000 0.0000 0.0000 Ga
0.0000 0.0000 0.5000 Te
0.0000 0.5000 0.0000 Te
```

=====

16.
Here is crystalline Rb3BaSe at its relaxed geometry from Alexandria via LeMat-Bulk. Energies are from PBEsol.

Results
total magnetization: 1.1 μB/f.u.
SG: Pm-3m (221)
mass density: 2.04 g cm⁻³
calculated total energy: -1.185 eV per atom

POSCAR file:
```
Rb3BaSe
1.0
-4.8426 -5.4297 0.0332
4.4564 -3.9490 4.1809
-3.1021 2.8031 5.9543
Rb Se Ba
3 1 1
Direct
0.5000 0.0000 0.0000 Rb
0.0000 0.0000 0.5000 Rb
0.0000 0.5000 0.0000 Rb
0.5000 0.5000 0.5000 Se
0.0000 0.0000 0.0000 Ba
```

=====

17.
Here is crystalline NiGeS2N at its relaxed geometry from Alexandria via LeMat-Bulk. Energies are from PBEsol.

Results
total magnetization: 0.0 μB/f.u.
SG: P4/mmm (123)
mass density: 4.72 g cm⁻³
calculated total energy: -5.247 eV per atom

POSCAR file:
```
NiGeS2N
1.0
-1.9121 2.5090 -1.2698
-2.4070 0.1791 3.9782
3.0021 3.1357 1.6752
S Ge Ni N
2 1 1 1
Direct
0.0000 0.0000 0.5000 S
0.0000 0.5000 0.0000 S
0.5000 0.5000 0.5000 Ge
0.0000 0.0000 0.0000 Ni
0.5000 0.0000 0.0000 N
```

=====

18.
Here is crystalline FeTcPS2 at its relaxed geometry from Alexandria via LeMat-Bulk. Energies are from PBEsol.

Results
total magnetization: 3.3 μB/f.u.
SG: P4/mmm (123)
mass density: 4.40 g cm⁻³
calculated total energy: -6.157 eV per atom

POSCAR file:
```
FeTcPS2
1.0
4.5177 0.0000 0.0000
0.0000 4.5177 0.0000
0.0000 0.0000 4.6073
Fe S P Tc
1 2 1 1
Direct
0.5000 0.5000 0.5000 Fe
0.5000 0.0000 0.0000 S
0.0000 0.5000 0.0000 S
0.0000 0.0000 0.5000 P
0.0000 0.0000 0.0000 Tc
```

=====

19.
Here is crystalline YInSbI2 at its relaxed geometry from Alexandria via LeMat-Bulk. Energies are from PBEsol.

Results
total magnetization: 0.0 μB/f.u.
SG: P4/mmm (123)
mass density: 5.38 g cm⁻³
calculated total energy: -3.485 eV per atom

POSCAR file:
```
YInSbI2
1.0
-3.3266 3.1354 3.2520
-2.3085 -4.6514 2.1233
3.9293 -0.0801 4.0967
In Sb Y I
1 1 1 2
Direct
0.0000 0.0000 0.0000 In
0.0000 0.0000 0.5000 Sb
0.5000 0.5000 0.5000 Y
0.0000 0.5000 0.0000 I
0.5000 0.0000 0.0000 I
```

=====

20.
Here is crystalline MnTePb2 at its relaxed geometry from Alexandria via LeMat-Bulk. Energies are from PBEsol.

Results
total magnetization: 3.5 μB/f.u.
SG: Pm (6)
mass density: 9.60 g cm⁻³
calculated total energy: -5.111 eV per atom

POSCAR file:
```
MnTePb2
1.0
3.8645 0.0000 0.0000
0.0000 4.2559 -0.0220
0.0000 -2.1064 6.2900
Mn Pb Te
1 2 1
Direct
0.5000 0.3449 0.8099 Mn
0.0000 0.9002 0.9216 Pb
0.5000 0.5679 0.2651 Pb
0.0000 0.1869 0.5034 Te
```